Li2YPb2 | GGA-PBEsol | relaxed

Properties
The calculation puts the energy of formation at -187 kJ/mol of formula units. The value obtained for the energy above the most stable polymorph in this dataset is 0.000 eV/atom.

abc: 7.045 7.045 7.045
angles: 144.79 144.79 50.64
Fractional coordinates of all 5 atoms:
Li: 0.250 0.750 0.500
Li: 0.750 0.250 0.500
Y: 0.000 0.000 0.000
Pb: 0.386 0.386 0.000
Pb: 0.614 0.614 0.000


BaSiO3 | GGA-PBEsol | relaxed

Properties
The formation energy without anion corrections is -2.97 eV per atom.

abc: 7.832 6.288 14.201
angles: 90.00 118.30 90.00
Fractional coordinates of all 40 atoms:
Ba: 0.212 0.098 0.124
Ba: 0.212 0.402 0.624
Ba: 0.256 0.594 0.334
Ba: 0.256 0.906 0.834
Ba: 0.744 0.094 0.166
Ba: 0.744 0.406 0.666
Ba: 0.788 0.598 0.376
Ba: 0.788 0.902 0.876
Si: 0.169 0.087 0.409
Si: 0.169 0.413 0.909
Si: 0.453 0.649 0.113
Si: 0.453 0.851 0.613
Si: 0.547 0.149 0.387
Si: 0.547 0.351 0.887
Si: 0.831 0.587 0.091
Si: 0.831 0.913 0.591
O: 0.024 0.611 0.856
O: 0.024 0.889 0.356
O: 0.066 0.185 0.899
O: 0.066 0.315 0.399
O: 0.311 0.090 0.348
O: 0.311 0.410 0.848
O: 0.326 0.058 0.539
O: 0.326 0.442 0.039
O: 0.399 0.634 0.545
O: 0.399 0.866 0.045
O: 0.436 0.669 0.221
O: 0.436 0.831 0.721
O: 0.564 0.169 0.279
O: 0.564 0.331 0.779
O: 0.601 0.134 0.955
O: 0.601 0.366 0.455
O: 0.674 0.558 0.961
O: 0.674 0.942 0.461
O: 0.689 0.590 0.152
O: 0.689 0.910 0.652
O: 0.934 0.685 0.601
O: 0.934 0.815 0.101
O: 0.976 0.111 0.644
O: 0.976 0.389 0.144


ZnHgTe2 | GGA-PBEsol | relaxed

Properties
The formation energy without anion corrections is 0.22 eV per atom.

abc: 5.200 5.200 5.200
angles: 122.42 122.42 85.86
Fractional coordinates of all 4 atoms:
Zn: 0.000 0.000 0.000
Hg: 0.500 0.500 0.000
Te: 0.250 0.750 0.500
Te: 0.750 0.250 0.500


Cs2Mo5O16 | GGA-PBEsol | relaxed

Properties
The formation energy without anion corrections is -2.04 eV per atom.

abc: 11.133 11.133 14.259
angles: 120.92 120.92 28.43
Fractional coordinates of all 46 atoms:
Cs: 0.068 0.375 0.336
Cs: 0.375 0.068 0.836
Cs: 0.625 0.932 0.164
Cs: 0.932 0.625 0.664
Mo: 0.097 0.686 0.034
Mo: 0.144 0.856 0.750
Mo: 0.272 0.605 0.390
Mo: 0.314 0.903 0.466
Mo: 0.395 0.728 0.110
Mo: 0.605 0.272 0.890
Mo: 0.686 0.097 0.534
Mo: 0.728 0.395 0.610
Mo: 0.856 0.144 0.250
Mo: 0.903 0.314 0.966
O: 0.037 0.822 0.465
O: 0.050 0.144 0.365
O: 0.053 0.326 0.087
O: 0.144 0.050 0.865
O: 0.161 0.819 0.339
O: 0.178 0.963 0.035
O: 0.181 0.839 0.161
O: 0.215 0.486 0.279
O: 0.308 0.422 0.082
O: 0.311 0.632 0.815
O: 0.326 0.053 0.587
O: 0.333 0.554 0.980
O: 0.368 0.689 0.685
O: 0.422 0.308 0.582
O: 0.446 0.667 0.520
O: 0.486 0.215 0.779
O: 0.514 0.785 0.221
O: 0.554 0.333 0.480
O: 0.578 0.692 0.418
O: 0.632 0.311 0.315
O: 0.667 0.446 0.020
O: 0.674 0.947 0.413
O: 0.689 0.368 0.185
O: 0.692 0.578 0.918
O: 0.785 0.514 0.721
O: 0.819 0.161 0.839
O: 0.822 0.037 0.965
O: 0.839 0.181 0.661
O: 0.856 0.950 0.135
O: 0.947 0.674 0.913
O: 0.950 0.856 0.635
O: 0.963 0.178 0.535


Cd2PtAu | GGA-PBEsol | relaxed

Properties
The calculation puts the energy of formation at -88 kJ/mol of formula units.

abc: 4.952 4.952 4.952
angles: 130.23 130.23 73.03
Fractional coordinates of all 4 atoms:
Cd: 0.250 0.750 0.500
Cd: 0.750 0.250 0.500
Pt: 0.000 0.000 0.000
Au: 0.500 0.500 0.000


SrIn2Br | GGA-PBEsol | relaxed

Properties
The formation energy without anion corrections is -0.47 eV per atom. The value obtained for the energy above the most stable polymorph in this dataset is 0.233 eV/atom.

abc: 6.126 6.126 3.708
angles: 90.00 90.00 120.42
Fractional coordinates of all 4 atoms:
Sr: 0.000 0.000 0.000
In: 0.000 0.500 0.500
In: 0.500 0.000 0.500
Br: 0.500 0.500 0.000


GeTe2PI | GGA-PBEsol | relaxed

Properties
The formation energy without anion corrections is 0.89 eV per atom.

abc: 5.349 5.349 5.249
angles: 90.00 90.00 90.00
Fractional coordinates of all 5 atoms:
Ge: 0.000 0.000 0.000
Te: 0.000 0.500 0.000
Te: 0.500 0.000 0.000
P: 0.500 0.500 0.500
I: 0.000 0.000 0.500


YFeAg | GGA-PBEsol | relaxed

Properties
The calculation puts the energy of formation at 50 kJ/mol of formula units.

abc: 5.498 5.498 5.498
angles: 144.37 144.37 51.28
Fractional coordinates of all 3 atoms:
Y: 0.000 0.000 0.000
Fe: 0.326 0.326 0.000
Ag: 0.696 0.696 0.000


Mn3As | GGA-PBEsol | relaxed

Properties
The calculation puts the energy of formation at -36 kJ/mol of formula units.

abc: 3.985 3.985 3.985
angles: 60.00 60.00 60.00
Fractional coordinates of all 4 atoms:
Mn: 0.000 0.000 0.000
Mn: 0.250 0.250 0.250
Mn: 0.750 0.750 0.750
As: 0.500 0.500 0.500


CaInBr2 | GGA-PBEsol | relaxed

Properties
The formation energy without anion corrections is -0.98 eV per atom. The value obtained for the energy above the most stable polymorph in this dataset is 0.000 eV/atom.

abc: 4.018 4.544 6.072
angles: 90.00 90.00 90.00
Fractional coordinates of all 4 atoms:
Ca: 0.000 0.000 0.000
In: 0.500 0.000 0.500
Br: 0.000 0.500 0.500
Br: 0.500 0.500 0.000


Mg4Co3 | GGA-PBEsol | relaxed

Properties
The calculation puts the energy of formation at 83 kJ/mol of formula units.

abc: 12.372 12.372 12.372
angles: 166.21 166.21 19.55
Fractional coordinates of all 7 atoms:
Mg: 0.061 0.061 0.000
Mg: 0.341 0.341 0.000
Mg: 0.659 0.659 0.000
Mg: 0.939 0.939 0.000
Co: 0.227 0.227 0.000
Co: 0.500 0.500 0.000
Co: 0.773 0.773 0.000


FePCl8 | GGA-PBEsol | relaxed

Properties
The formation energy without anion corrections is -0.68 eV per atom.

abc: 6.022 14.244 13.578
angles: 90.00 90.00 90.00
Fractional coordinates of all 40 atoms:
Fe: 0.229 0.016 0.250
Fe: 0.229 0.484 0.750
Fe: 0.771 0.516 0.250
Fe: 0.771 0.984 0.750
P: 0.459 0.750 0.000
P: 0.459 0.750 0.500
P: 0.541 0.250 0.000
P: 0.541 0.250 0.500
Cl: 0.104 0.551 0.616
Cl: 0.104 0.551 0.884
Cl: 0.104 0.949 0.116
Cl: 0.104 0.949 0.384
Cl: 0.140 0.166 0.250
Cl: 0.140 0.334 0.750
Cl: 0.270 0.697 0.103
Cl: 0.270 0.697 0.397
Cl: 0.270 0.803 0.603
Cl: 0.270 0.803 0.897
Cl: 0.351 0.152 0.556
Cl: 0.351 0.152 0.944
Cl: 0.351 0.348 0.056
Cl: 0.351 0.348 0.444
Cl: 0.412 0.504 0.250
Cl: 0.412 0.996 0.750
Cl: 0.588 0.004 0.250
Cl: 0.588 0.496 0.750
Cl: 0.649 0.652 0.556
Cl: 0.649 0.652 0.944
Cl: 0.649 0.848 0.056
Cl: 0.649 0.848 0.444
Cl: 0.730 0.197 0.103
Cl: 0.730 0.197 0.397
Cl: 0.730 0.303 0.603
Cl: 0.730 0.303 0.897
Cl: 0.860 0.666 0.250
Cl: 0.860 0.834 0.750
Cl: 0.896 0.051 0.616
Cl: 0.896 0.051 0.884
Cl: 0.896 0.449 0.116
Cl: 0.896 0.449 0.384


Number 1: electronic total energy -20.69 eV/f.u.. Number 2: electronic total energy -38.50 eV/f.u.. Number 3: electronic total energy -8.31 eV/f.u.. Number 4: electronic total energy -191.52 eV/f.u.. Number 5: electronic total energy -14.19 eV/f.u.. Number 6: electronic total energy -11.56 eV/f.u.. Number 7: electronic total energy -15.10 eV/f.u.. Number 8: electronic total energy -18.57 eV/f.u.. Number 9: electronic total energy -34.76 eV/f.u.. Number 10: electronic total energy -12.77 eV/f.u.. Number 11: electronic total energy -29.22 eV/f.u.. Number 12: electronic total energy -37.58 eV/f.u..